The following is a DFT calculation (PBE) of a relaxed Sm5Os2 crystal.

Computed properties:
uncorrected energy: -94.46 eV for the cell shown
calculated formation energy: -0.17 eV per atom
SG: No. 15
volume: 27.58 A^3/atom

a b c (Å): 8.675 8.675 7.405
angles (deg): 96.65 96.65 44.31
Positions (direct):
Sm (0.207, 0.358, 0.184)
Os (0.824, 0.396, 0.076)
Sm (0.979, 0.205, 0.415)
Sm (0.795, 0.021, 0.085)
Sm (0.793, 0.642, 0.816)
Sm (0.642, 0.793, 0.316)
Sm (0.021, 0.795, 0.585)
Sm (0.358, 0.207, 0.684)
Sm (0.426, 0.574, 0.250)
Os (0.604, 0.176, 0.424)
Os (0.396, 0.824, 0.576)
Sm (0.205, 0.979, 0.915)
Os (0.176, 0.604, 0.924)
Sm (0.574, 0.426, 0.750)

---

The following is a DFT calculation (PBE) of a relaxed CoCuPd2 crystal.

Computed properties:
uncorrected energy: -20.63 eV for the cell shown
calculated formation energy: 0.14 eV per atom
SG: No. 216
volume: 13.78 A^3/atom

a b c (Å): 4.272 4.272 4.272
angles (deg): 60.00 60.00 60.00
Positions (direct):
Cu (0.250, 0.250, 0.250)
Pd (0.750, 0.750, 0.750)
Pd (0.000, 0.000, 0.000)
Co (0.500, 0.500, 0.500)

---

The following is a DFT calculation (PBE) of a relaxed GdMgZn crystal.

Computed properties:
uncorrected energy: -31.70 eV for the cell shown
SG: No. 1
volume: 23.36 A^3/atom

a b c (Å): 6.083 6.540 8.319
angles (deg): 96.89 97.31 58.83
Positions (direct):
Gd (0.695, 0.592, 0.074)
Zn (0.831, 0.655, 0.750)
Gd (0.964, 0.331, 0.447)
Mg (0.063, 0.772, 0.309)
Zn (0.185, 0.041, 0.146)
Gd (0.422, 0.491, 0.653)
Gd (0.264, 0.102, 0.818)
Zn (0.207, 0.587, 0.980)
Zn (0.884, 0.977, 0.614)
Mg (0.797, 0.051, 0.951)
Mg (0.477, 0.250, 0.242)
Mg (0.520, 0.878, 0.453)

---

The following is a DFT calculation (PBE) of a relaxed GaCo2Ni crystal.

Computed properties:
uncorrected energy: -46.50 eV for the cell shown
SG: No. 38
volume: 11.53 A^3/atom

a b c (Å): 4.106 5.020 5.020
angles (deg): 63.04 90.00 90.00
Each line ends with the local moment (μB).
Positions (direct):
Ni (0.500, 0.338, 0.338)  0.28
Co (0.500, 0.843, 0.843)  1.19
Ni (0.000, 0.661, 0.661)  0.29
Co (0.000, 0.161, 0.161)  1.19
Ga (0.500, 0.838, 0.343)  -0.04
Ga (0.500, 0.343, 0.838)  -0.04
Co (0.000, 0.664, 0.152)  1.52
Co (0.000, 0.152, 0.664)  1.68

---

The following is a DFT calculation (PBE) of a relaxed DyTmC2I2 crystal.

Computed properties:
uncorrected energy: -35.68 eV for the cell shown
SG: No. 8
volume: 26.17 A^3/atom

a b c (Å): 4.118 4.118 11.184
angles (deg): 93.02 93.02 56.01
Positions (direct):
C (0.578, 0.578, 0.469)
Tm (0.854, 0.854, 0.379)
Dy (0.145, 0.145, 0.622)
C (0.422, 0.422, 0.526)
I (0.824, 0.824, 0.811)
I (0.177, 0.177, 0.193)

---

The following is a DFT calculation (PBE) of a relaxed PrNd2Ni6Pt3 crystal.

Computed properties:
uncorrected energy: -72.39 eV for the cell shown
calculated formation energy: -0.54 eV per atom
SG: No. 166
volume: 16.60 A^3/atom

a b c (Å): 9.058 9.058 9.058
angles (deg): 33.27 33.27 33.27
Each line ends with the local moment (μB).
Positions (direct):
Ni (0.415, 0.415, 0.920)  -0.15
Nd (0.862, 0.862, 0.862)  0.02
Pt (0.500, 0.500, 0.500)  -0.03
Pt (0.333, 0.333, 0.333)  -0.06
Ni (0.920, 0.415, 0.415)  -0.14
Pr (0.000, 0.000, 0.000)  0.01
Ni (0.415, 0.920, 0.415)  -0.17
Ni (0.585, 0.080, 0.585)  -0.17
Ni (0.080, 0.585, 0.585)  -0.14
Nd (0.138, 0.138, 0.138)  0.02
Pt (0.667, 0.667, 0.667)  -0.06
Ni (0.585, 0.585, 0.080)  -0.15

---

The following is a DFT calculation (PBE) of a relaxed ZnAgAsO crystal.

Computed properties:
uncorrected energy: -29.57 eV for the cell shown
SG: No. 129
volume: 18.80 A^3/atom

a b c (Å): 4.017 4.017 9.319
angles (deg): 90.00 90.00 90.00
Positions (direct):
Zn (0.250, 0.250, 0.955)
Zn (0.750, 0.750, 0.045)
As (0.750, 0.750, 0.318)
Ag (0.250, 0.750, 0.500)
O (0.250, 0.750, 0.000)
O (0.750, 0.250, 0.000)
As (0.250, 0.250, 0.682)
Ag (0.750, 0.250, 0.500)

---

The following is a DFT calculation (PBE) of a relaxed KCuMoPt crystal.

Computed properties:
uncorrected energy: -17.87 eV for the cell shown
SG: No. 216
volume: 18.99 A^3/atom

a b c (Å): 4.754 4.754 4.754
angles (deg): 60.00 60.00 60.00
Positions (direct):
K (0.500, 0.500, 0.500)
Cu (0.750, 0.750, 0.750)
Mo (0.000, 0.000, 0.000)
Pt (0.250, 0.250, 0.250)